No. 1
An optimized crystal structure of SmGdAg2, computed with PBE.

Properties
E_form ... -292 meV/atom
Symmetry ... P4/mmm
DOS at the Fermi energy ... 4.06 states/eV per cell

Structure (POSCAR):
```
SmGdAg2
1.0
3.6772 0.0000 0.0000
0.0000 5.2329 0.0000
0.0000 0.0000 5.2329
Ag Gd Sm
2 1 1
Direct
0.0000 0.5000 0.0000
0.0000 0.0000 0.5000
0.5000 0.5000 0.5000
0.5000 0.0000 0.0000
```

No. 2
An optimized crystal structure of TbSmGdAg, computed with PBE.

Properties
E_form ... 66 meV/atom
Symmetry ... F-43m
DOS at the Fermi energy ... 6.33 states/eV per cell

Structure (POSCAR):
```
TbSmGdAg
1.0
-2.7740 -3.7364 -2.7683
2.4391 -2.8309 -3.9188
1.0733 -5.2576 0.7251
Gd Sm Ag Tb
1 1 1 1
Direct
0.7500 0.7500 0.7500
0.5000 0.5000 0.5000
0.2500 0.2500 0.2500
0.0000 0.0000 0.0000
```

No. 3
An optimized crystal structure of SmGdTlAg, computed with PBE.

Properties
E_form ... -341 meV/atom
Symmetry ... F-43m
DOS at the Fermi energy ... 4.69 states/eV per cell

Structure (POSCAR):
```
SmGdTlAg
1.0
5.3373 0.0000 0.0000
2.6686 4.6222 0.0000
2.6686 1.5407 4.3579
Gd Ag Sm Tl
1 1 1 1
Direct
0.0000 0.0000 0.0000
0.2500 0.2500 0.2500
0.5000 0.5000 0.5000
0.7500 0.7500 0.7500
```

No. 4
An optimized crystal structure of SmGdTmAg, computed with PBE.

Properties
E_form ... 45 meV/atom
Symmetry ... F-43m
DOS at the Fermi energy ... 3.60 states/eV per cell

Structure (POSCAR):
```
SmGdTmAg
1.0
-4.3499 -3.1533 -0.5626
-0.2747 -3.5184 -4.0899
0.3638 -5.3019 0.9690
Tm Gd Ag Sm
1 1 1 1
Direct
0.7500 0.7500 0.7500
0.0000 0.0000 0.0000
0.2500 0.2500 0.2500
0.5000 0.5000 0.5000
```

No. 5
An optimized crystal structure of SmGdYAg, computed with PBE.

Properties
E_form ... 65 meV/atom
Symmetry ... F-43m
DOS at the Fermi energy ... 6.45 states/eV per cell

Structure (POSCAR):
```
SmGdYAg
1.0
-4.0687 -1.1890 3.3735
-0.5109 -5.0233 1.9632
1.0164 -0.9806 5.2301
Y Gd Ag Sm
1 1 1 1
Direct
0.7500 0.7500 0.7500
0.5000 0.5000 0.5000
0.0000 0.0000 0.0000
0.2500 0.2500 0.2500
```

No. 6
An optimized crystal structure of SmGdZnAg, computed with PBE.

Properties
E_form ... -304 meV/atom
Symmetry ... F-43m
DOS at the Fermi energy ... 3.90 states/eV per cell

Structure (POSCAR):
```
SmGdZnAg
1.0
-3.4235 3.8090 -0.7452
-2.0537 0.7524 -4.6905
-4.9783 -1.1260 -0.8561
Ag Gd Sm Zn
1 1 1 1
Direct
0.2500 0.2500 0.2500
0.5000 0.5000 0.5000
0.0000 0.0000 0.0000
0.7500 0.7500 0.7500
```

No. 7
An optimized crystal structure of GdAgSn, computed with PBE.

Properties
E_form ... -550 meV/atom
Symmetry ... P-6m2
DOS at the Fermi energy ... 2.59 states/eV per cell

Structure (POSCAR):
```
GdAgSn
1.0
-2.0593 -0.3436 -2.8899
-2.8290 -3.1072 2.3853
-0.9658 4.7328 0.1255
Gd Sn Ag
1 1 1
Direct
0.6667 0.6667 0.3333
0.1670 0.3333 0.6667
0.1662 0.0000 0.0000
```

No. 8
An optimized crystal structure of GdAgSn2, computed with PBE.

Properties
E_form ... 82 meV/atom
Symmetry ... R-3m
DOS at the Fermi energy ... 3.39 states/eV per cell

Structure (POSCAR):
```
GdAgSn2
1.0
-0.1415 -3.3119 0.8065
1.8767 -1.2091 2.5797
-7.4902 0.4956 7.9371
Gd Sn Ag
1 2 1
Direct
0.0000 0.0000 0.0000
0.0976 0.0976 0.7073
0.9024 0.9024 0.2927
0.5000 0.5000 0.5000
```

No. 9
An optimized crystal structure of GdAgSn2, computed with PBE.

Properties
E_form ... -455 meV/atom
Symmetry ... P4/mmm
DOS at the Fermi energy ... 1.47 states/eV per cell

Structure (POSCAR):
```
GdAgSn2
1.0
-0.0953 -1.3307 -4.4761
4.6605 0.2544 -0.1749
0.2782 -4.2354 1.2532
Sn Ag Gd
2 1 1
Direct
0.0000 0.5000 0.5000
0.5000 0.0000 0.5000
0.5000 0.5000 0.0000
0.0000 0.0000 0.0000
```

No. 10
An optimized crystal structure of GdAgSn2, computed with PBE.

Properties
E_form ... -249 meV/atom
Symmetry ... Fm-3m
DOS at the Fermi energy ... 2.31 states/eV per cell

Structure (POSCAR):
```
GdAgSn2
1.0
5.2055 0.0000 0.0000
2.6028 4.5081 0.0000
2.6028 1.5027 4.2503
Sn Ag Gd
2 1 1
Direct
0.7500 0.7500 0.7500
0.2500 0.2500 0.2500
0.5000 0.5000 0.5000
0.0000 0.0000 0.0000
```

No. 11
An optimized crystal structure of GdAgSn, computed with PBE.

Properties
E_form ... -529 meV/atom
Symmetry ... F-43m
DOS at the Fermi energy ... 1.74 states/eV per cell

Structure (POSCAR):
```
GdAgSn
1.0
-3.5975 3.1553 0.4173
-2.5443 1.2672 -3.8720
-4.5491 -1.4683 -0.4706
Sn Ag Gd
1 1 1
Direct
0.0000 0.0000 0.0000
0.2500 0.2500 0.2500
0.5000 0.5000 0.5000
```

No. 12
An optimized crystal structure of GdAgSn, computed with PBE.

Properties
E_form ... -327 meV/atom
Symmetry ... I4mm
DOS at the Fermi energy ... 1.49 states/eV per cell

Structure (POSCAR):
```
GdAgSn
1.0
3.5369 0.0000 0.0000
0.0000 3.5369 0.0000
-1.7685 -1.7685 5.8353
Sn Gd Ag
1 1 1
Direct
0.2984 0.2984 0.5967
0.6078 0.6078 0.2156
0.9438 0.9438 0.8876
```